--- a ---
# Rb2WI

Rb2WI after structural relaxation (PBE-GGA, the Alexandria database).

Space-group type: I-42d (122)
Crystal system: tetragonal
N(E_F): 0.00 states/eV per atom

Unit cell a=9.7209 b=9.7209 c=9.5537 alpha=90.00 beta=90.00 gamma=90.00
Last column: nearest neighbours and their distance in Å.
Element x y z (fractional)
Rb (0.2381, 0.2500, 0.1250)  2 I 3.56, 2 W 3.72
Rb (0.2500, 0.7381, 0.3750)  2 I 3.56, 2 W 3.72
Rb (0.2500, 0.7619, 0.8750)  2 I 3.56, 2 W 3.72
Rb (0.2619, 0.2500, 0.6250)  2 I 3.56, 2 W 3.72
Rb (0.7381, 0.7500, 0.6250)  2 I 3.56, 2 W 3.72
Rb (0.7500, 0.2381, 0.8750)  2 I 3.56, 2 W 3.72
Rb (0.7500, 0.2619, 0.3750)  2 I 3.56, 2 W 3.72
Rb (0.7619, 0.7500, 0.1250)  2 I 3.56, 2 W 3.72
W (0.0000, 0.0000, 0.5000)  4 Rb 3.72
W (0.0000, 0.5000, 0.7500)  4 Rb 3.72
W (0.5000, 0.0000, 0.2500)  4 Rb 3.72
W (0.5000, 0.5000, 0.0000)  4 Rb 3.72
I (0.0000, 0.0000, 0.0000)  4 Rb 3.56
I (0.0000, 0.5000, 0.2500)  4 Rb 3.56
I (0.5000, 0.0000, 0.7500)  4 Rb 3.56
I (0.5000, 0.5000, 0.5000)  4 Rb 3.56

***

--- b ---
# Rb2WI

Rb2WI after structural relaxation (PBE-GGA, the Alexandria database).

Space-group type: Fm-3m (225)
Crystal system: cubic
N(E_F): 0.00 states/eV per atom

Unit cell a=8.9671 b=8.9671 c=8.9671 alpha=90.00 beta=90.00 gamma=90.00
Last column: nearest neighbours and their distance in Å.
Element x y z (fractional)
Rb (0.2500, 0.2500, 0.2500)  4 W 3.88, 4 I 3.88
Rb (0.2500, 0.2500, 0.7500)  4 W 3.88, 4 I 3.88
Rb (0.2500, 0.7500, 0.2500)  4 W 3.88, 4 I 3.88
Rb (0.2500, 0.7500, 0.7500)  4 W 3.88, 4 I 3.88
Rb (0.7500, 0.2500, 0.2500)  4 W 3.88, 4 I 3.88
Rb (0.7500, 0.2500, 0.7500)  4 W 3.88, 4 I 3.88
Rb (0.7500, 0.7500, 0.2500)  4 W 3.88, 4 I 3.88
Rb (0.7500, 0.7500, 0.7500)  4 W 3.88, 4 I 3.88
W (0.0000, 0.0000, 0.0000)  8 Rb 3.88
W (0.0000, 0.5000, 0.5000)  8 Rb 3.88
W (0.5000, 0.0000, 0.5000)  8 Rb 3.88
W (0.5000, 0.5000, 0.0000)  8 Rb 3.88
I (0.0000, 0.0000, 0.5000)  8 Rb 3.88
I (0.0000, 0.5000, 0.0000)  8 Rb 3.88
I (0.5000, 0.0000, 0.0000)  8 Rb 3.88
I (0.5000, 0.5000, 0.5000)  8 Rb 3.88

***

Most stable pick: b. Distance to second place: 0.069 eV/atom.

***

--- a ---
# RbYI2

RbYI2 after structural relaxation (PBE-GGA, the Alexandria database).

Space-group type: R-3m (166)
Crystal system: trigonal
N(E_F): 0.72 states/eV per atom

Unit cell a=4.2278 b=4.2278 c=35.2720 alpha=90.00 beta=90.00 gamma=120.00
Last column: nearest neighbours and their distance in Å.
Element x y z (fractional)
Rb (0.0000, 0.0000, 0.0000)  2 I 3.93, 6 Rb 4.23
Rb (0.3333, 0.6667, 0.6667)  2 I 3.93, 6 Rb 4.23
Rb (0.6667, 0.3333, 0.3333)  2 I 3.93, 6 Rb 4.23
Y (0.0000, 0.0000, 0.5000)  6 I 3.13
Y (0.3333, 0.6667, 0.1667)  6 I 3.13
Y (0.6667, 0.3333, 0.8333)  6 I 3.13
I (0.0000, 0.0000, 0.1113)  3 Y 3.13
I (0.0000, 0.0000, 0.8887)  3 Y 3.13
I (0.3333, 0.6667, 0.5554)  3 Y 3.13
I (0.3333, 0.6667, 0.7780)  3 Y 3.13
I (0.6667, 0.3333, 0.2220)  3 Y 3.13
I (0.6667, 0.3333, 0.4446)  3 Y 3.13

***

--- b ---
# RbYI2

RbYI2 after structural relaxation (PBE-GGA, the Alexandria database).

Space-group type: Fm-3m (225)
Crystal system: cubic
N(E_F): 0.47 states/eV per atom

Unit cell a=8.2346 b=8.2346 c=8.2346 alpha=90.00 beta=90.00 gamma=90.00
Last column: nearest neighbours and their distance in Å.
Element x y z (fractional)
Rb (0.0000, 0.0000, 0.0000)  8 I 3.57
Rb (0.0000, 0.5000, 0.5000)  8 I 3.57
Rb (0.5000, 0.0000, 0.5000)  8 I 3.57
Rb (0.5000, 0.5000, 0.0000)  8 I 3.57
Y (0.0000, 0.0000, 0.5000)  8 I 3.57
Y (0.0000, 0.5000, 0.0000)  8 I 3.57
Y (0.5000, 0.0000, 0.0000)  8 I 3.57
Y (0.5000, 0.5000, 0.5000)  8 I 3.57
I (0.2500, 0.2500, 0.2500)  4 Y 3.57, 4 Rb 3.57
I (0.2500, 0.2500, 0.7500)  4 Rb 3.57, 4 Y 3.57
I (0.2500, 0.7500, 0.2500)  4 Rb 3.57, 4 Y 3.57
I (0.2500, 0.7500, 0.7500)  4 Y 3.57, 4 Rb 3.57
I (0.7500, 0.2500, 0.2500)  4 Rb 3.57, 4 Y 3.57
I (0.7500, 0.2500, 0.7500)  4 Y 3.57, 4 Rb 3.57
I (0.7500, 0.7500, 0.2500)  4 Y 3.57, 4 Rb 3.57
I (0.7500, 0.7500, 0.7500)  4 Rb 3.57, 4 Y 3.57

***

Most stable pick: a. Distance to second place: 0.231 eV/atom.

***

--- a ---
# RbYI4

RbYI4 after structural relaxation (PBE-GGA, the Alexandria database).

Space-group type: C2/c (15)
Crystal system: monoclinic

Unit cell a=9.3571 b=9.3571 c=7.4945 alpha=105.98 beta=105.98 gamma=111.12
Last column: nearest neighbours and their distance in Å.
Element x y z (fractional)
Rb (0.1346, 0.8654, 0.7500)  8 I 3.74-3.90
Rb (0.8654, 0.1346, 0.2500)  8 I 3.74-3.90
Y (0.4992, 0.5008, 0.7500)  8 I 3.21-3.24
Y (0.5008, 0.4992, 0.2500)  8 I 3.21-3.24
I (0.1712, 0.3002, 0.8182)  2 Y 3.23-3.24
I (0.2384, 0.5524, 0.4272)  2 Y 3.21-3.22
I (0.3002, 0.1712, 0.3182)  2 Y 3.23-3.24
I (0.4476, 0.7616, 0.0728)  2 Y 3.21-3.22
I (0.5524, 0.2384, 0.9272)  2 Y 3.21-3.22
I (0.6998, 0.8288, 0.6818)  2 Y 3.23-3.24
I (0.7616, 0.4476, 0.5728)  2 Y 3.21-3.22
I (0.8288, 0.6998, 0.1819)  2 Y 3.23-3.24

***

--- b ---
# RbYI4

RbYI4 after structural relaxation (PBE-GGA, the Alexandria database).

Space-group type: C2/c (15)
Crystal system: monoclinic
N(E_F): 0.00 states/eV per atom

Unit cell a=10.5321 b=10.5321 c=7.8734 alpha=99.37 beta=99.37 gamma=117.04
Last column: nearest neighbours and their distance in Å.
Element x y z (fractional)
Rb (0.2388, 0.7612, 0.7500)  6 I 3.66-3.90
Rb (0.7612, 0.2388, 0.2500)  6 I 3.66-3.90
Y (0.0663, 0.9337, 0.2500)  6 I 2.97-3.11
Y (0.9337, 0.0663, 0.7500)  6 I 2.97-3.11
I (0.0005, 0.3631, 0.7046)  1 Y 2.97
I (0.9995, 0.6369, 0.2954)  1 Y 2.97
I (0.1031, 0.2190, 0.1473)  2 Y 3.08-3.11
I (0.2190, 0.1031, 0.6473)  2 Y 3.08-3.11
I (0.3631, 0.0005, 0.2046)  1 Y 2.97
I (0.6369, 0.9995, 0.7954)  1 Y 2.97
I (0.7810, 0.8969, 0.3527)  2 Y 3.08-3.11
I (0.8969, 0.7810, 0.8527)  2 Y 3.08-3.11

***

Most stable pick: b. Distance to second place: 0.082 eV/atom.

***

--- a ---
# Rb2YI

Rb2YI after structural relaxation (PBE-GGA, the Alexandria database).

Space-group type: Fm-3m (225)
Crystal system: cubic
N(E_F): 2.21 states/eV per atom

Unit cell a=9.5901 b=9.5901 c=9.5901 alpha=90.00 beta=90.00 gamma=90.00
Last column: nearest neighbours and their distance in Å.
Element x y z (fractional)
Rb (0.2500, 0.2500, 0.2500)  4 I 4.15, 4 Y 4.15
Rb (0.2500, 0.2500, 0.7500)  4 I 4.15, 4 Y 4.15
Rb (0.2500, 0.7500, 0.2500)  4 I 4.15, 4 Y 4.15
Rb (0.2500, 0.7500, 0.7500)  4 I 4.15, 4 Y 4.15
Rb (0.7500, 0.2500, 0.2500)  4 I 4.15, 4 Y 4.15
Rb (0.7500, 0.2500, 0.7500)  4 I 4.15, 4 Y 4.15
Rb (0.7500, 0.7500, 0.2500)  4 I 4.15, 4 Y 4.15
Rb (0.7500, 0.7500, 0.7500)  4 I 4.15, 4 Y 4.15
Y (0.0000, 0.0000, 0.0000)  8 Rb 4.15
Y (0.0000, 0.5000, 0.5000)  8 Rb 4.15
Y (0.5000, 0.0000, 0.5000)  8 Rb 4.15
Y (0.5000, 0.5000, 0.0000)  8 Rb 4.15
I (0.0000, 0.0000, 0.5000)  8 Rb 4.15
I (0.0000, 0.5000, 0.0000)  8 Rb 4.15
I (0.5000, 0.0000, 0.0000)  8 Rb 4.15
I (0.5000, 0.5000, 0.5000)  8 Rb 4.15

***

--- b ---
# Rb2YI

Rb2YI after structural relaxation (PBE-GGA, the Alexandria database).

Space-group type: I-42d (122)
Crystal system: tetragonal
N(E_F): 1.55 states/eV per atom

Unit cell a=12.6018 b=12.6018 c=6.0885 alpha=90.00 beta=90.00 gamma=90.00
Last column: nearest neighbours and their distance in Å.
Element x y z (fractional)
Rb (0.1367, 0.2500, 0.1250)  2 I 3.67
Rb (0.2500, 0.6367, 0.3750)  2 I 3.67
Rb (0.2500, 0.8633, 0.8750)  2 I 3.67
Rb (0.3633, 0.2500, 0.6250)  2 I 3.67
Rb (0.6367, 0.7500, 0.6250)  2 I 3.67
Rb (0.7500, 0.1367, 0.8750)  2 I 3.67
Rb (0.7500, 0.3633, 0.3750)  2 I 3.67
Rb (0.8633, 0.7500, 0.1250)  2 I 3.67
Y (0.0000, 0.0000, 0.5000)  2 I 3.04
Y (0.0000, 0.5000, 0.7500)  2 I 3.04
Y (0.5000, 0.0000, 0.2500)  2 I 3.04
Y (0.5000, 0.5000, 0.0000)  2 I 3.04
I (0.0000, 0.0000, 0.0000)  2 Y 3.04
I (0.0000, 0.5000, 0.2500)  2 Y 3.04
I (0.5000, 0.0000, 0.7500)  2 Y 3.04
I (0.5000, 0.5000, 0.5000)  2 Y 3.04

***

Most stable pick: b. Distance to second place: 0.168 eV/atom.

***

--- a ---
# Rb3YI6

Rb3YI6 after structural relaxation (PBE-GGA, the Alexandria database).

Space-group type: P2_1/c (14)
Crystal system: monoclinic
N(E_F): 0.00 states/eV per atom

Unit cell a=8.7041 b=9.3275 c=14.9601 alpha=90.00 beta=123.87 gamma=90.00
Last column: nearest neighbours and their distance in Å.
Element x y z (fractional)
Rb (0.0000, 0.0000, 0.0000)  6 I 3.63-3.73
Rb (0.0000, 0.5000, 0.5000)  6 I 3.63-3.73
Rb (0.2075, 0.0828, 0.7421)  6 I 3.72-3.98
Rb (0.2075, 0.4172, 0.2421)  6 I 3.72-3.98
Rb (0.7925, 0.5828, 0.7579)  6 I 3.72-3.98
Rb (0.7925, 0.9172, 0.2579)  6 I 3.72-3.98
Y (0.5000, 0.0000, 0.5000)  6 I 3.05-3.07
Y (0.5000, 0.5000, 0.0000)  6 I 3.05-3.07
I (0.1622, 0.1750, 0.4450)  1 Y 3.05
I (0.1622, 0.3250, 0.9450)  1 Y 3.05
I (0.2642, 0.7266, 0.4244)  1 Y 3.07
I (0.2642, 0.7734, 0.9244)  1 Y 3.07
I (0.4070, 0.0527, 0.2739)  1 Y 3.05
I (0.4070, 0.4473, 0.7739)  1 Y 3.05
I (0.5930, 0.5527, 0.2261)  1 Y 3.05
I (0.5930, 0.9473, 0.7261)  1 Y 3.05
I (0.7358, 0.2266, 0.0756)  1 Y 3.07
I (0.7358, 0.2734, 0.5756)  1 Y 3.07
I (0.8378, 0.6750, 0.0550)  1 Y 3.05
I (0.8378, 0.8250, 0.5550)  1 Y 3.05

***

--- b ---
# Rb3YI6

Rb3YI6 after structural relaxation (PBE-GGA, the Alexandria database).

Space-group type: Fm-3m (225)
Crystal system: cubic
N(E_F): 0.00 states/eV per atom

Unit cell a=9.1800 b=9.1800 c=9.1800 alpha=60.00 beta=60.00 gamma=60.00
Last column: nearest neighbours and their distance in Å.
Element x y z (fractional)
Rb (0.0000, 0.0000, 0.0000)  6 I 3.47
Rb (0.2500, 0.2500, 0.2500)  12 I 4.60
Rb (0.7500, 0.7500, 0.7500)  12 I 4.60
Y (0.5000, 0.5000, 0.5000)  6 I 3.02
I (0.2673, 0.2673, 0.7327)  1 Y 3.02
I (0.2673, 0.7327, 0.2673)  1 Y 3.02
I (0.2673, 0.7327, 0.7327)  1 Y 3.02
I (0.7327, 0.2673, 0.2673)  1 Y 3.02
I (0.7327, 0.2673, 0.7327)  1 Y 3.02
I (0.7327, 0.7327, 0.2673)  1 Y 3.02

***

Most stable pick: a. Distance to second place: 0.068 eV/atom.

***

--- a ---
# RbZnI2

RbZnI2 after structural relaxation (PBE-GGA, the Alexandria database).

Space-group type: I-42d (122)
Crystal system: tetragonal
N(E_F): 0.03 states/eV per atom

Unit cell a=7.2557 b=7.2557 c=16.1215 alpha=90.00 beta=90.00 gamma=90.00
Last column: nearest neighbours and their distance in Å.
Element x y z (fractional)
Rb (0.0000, 0.0000, 0.0000)  4 I 3.69
Rb (0.0000, 0.5000, 0.2500)  4 I 3.69
Rb (0.5000, 0.0000, 0.7500)  4 I 3.69
Rb (0.5000, 0.5000, 0.5000)  4 I 3.69
Zn (0.0000, 0.0000, 0.5000)  4 I 2.94
Zn (0.0000, 0.5000, 0.7500)  4 I 2.94
Zn (0.5000, 0.0000, 0.2500)  4 I 2.94
Zn (0.5000, 0.5000, 0.0000)  4 I 2.94
I (0.1558, 0.2500, 0.6250)  2 Zn 2.94
I (0.2500, 0.6558, 0.8750)  2 Zn 2.94
I (0.2500, 0.8442, 0.3750)  2 Zn 2.94
I (0.3442, 0.2500, 0.1250)  2 Zn 2.94
I (0.6558, 0.7500, 0.1250)  2 Zn 2.94
I (0.7500, 0.1558, 0.3750)  2 Zn 2.94
I (0.7500, 0.3442, 0.8750)  2 Zn 2.94
I (0.8442, 0.7500, 0.6250)  2 Zn 2.94

***

--- b ---
# RbZnI2

RbZnI2 after structural relaxation (PBE-GGA, the Alexandria database).

Space-group type: R-3m (166)
Crystal system: trigonal
N(E_F): 0.65 states/eV per atom

Unit cell a=4.3905 b=4.3905 c=31.0573 alpha=90.00 beta=90.00 gamma=120.00
Last column: nearest neighbours and their distance in Å.
Element x y z (fractional)
Rb (0.0000, 0.0000, 0.0000)  2 I 3.54
Rb (0.3333, 0.6667, 0.6667)  2 I 3.54
Rb (0.6667, 0.3333, 0.3333)  2 I 3.54
Zn (0.0000, 0.0000, 0.5000)  6 I 3.02
Zn (0.3333, 0.6667, 0.1667)  6 I 3.02
Zn (0.6667, 0.3333, 0.8333)  6 I 3.02
I (0.0000, 0.0000, 0.1141)  3 Zn 3.02
I (0.0000, 0.0000, 0.8859)  3 Zn 3.02
I (0.3333, 0.6667, 0.5526)  3 Zn 3.02
I (0.3333, 0.6667, 0.7807)  3 Zn 3.02
I (0.6667, 0.3333, 0.2193)  3 Zn 3.02
I (0.6667, 0.3333, 0.4474)  3 Zn 3.02

***

Most stable pick: a. Distance to second place: 0.304 eV/atom.